Entry 1:
The following is a GGA-PBE calculation of crystalline Re3MoW at its relaxed geometry, from Alexandria via LeMat-Bulk.

a = 4.614 Å, b = 4.614 Å, c = 4.614 Å
α = 90.00°, β = 90.00°, γ = 90.00°
Fractional positions:
Re1 0.000 0.000 0.500
W1 0.500 0.500 0.500
Re2 0.500 0.000 0.000
Re3 0.000 0.500 0.000
Mo1 0.000 0.000 0.000

Output
total energy: -9.804 eV per atom
symmetry: Pm-3m

---

Entry 2:
The following is a GGA-PBE calculation of crystalline Re3Mo2W4 at its relaxed geometry, from Alexandria via LeMat-Bulk.

a = 7.727 Å, b = 7.727 Å, c = 5.043 Å
α = 99.27°, β = 99.27°, γ = 78.75°
Fractional positions:
Mo1 0.185 0.362 0.916
Re1 0.959 0.840 0.525
Mo2 0.815 0.638 0.084
W1 0.161 0.702 0.978
Re2 0.160 0.041 0.975
Re3 0.041 0.160 0.475
Mo3 0.362 0.185 0.416
W2 0.702 0.161 0.478
W3 0.840 0.484 0.564
W4 0.160 0.516 0.436
W5 0.484 0.840 0.064
W6 0.298 0.839 0.522
Re4 0.503 0.497 0.750
Mo4 0.638 0.815 0.584
W7 0.839 0.298 0.022
Re5 0.497 0.503 0.250
W8 0.516 0.160 0.936
Re6 0.840 0.959 0.025

Output
total energy: -12.097 eV per atom
symmetry: C2/c

---

Entry 3:
The following is a GGA-PBE calculation of crystalline Zn2ReMoW at its relaxed geometry, from Alexandria via LeMat-Bulk.

a = 4.766 Å, b = 4.666 Å, c = 4.766 Å
α = 90.00°, β = 90.00°, γ = 90.00°
Fractional positions:
W1 0.000 0.000 0.000
Re1 0.500 0.500 0.500
Zn1 0.000 0.000 0.500
Mo1 0.000 0.500 0.000
Zn2 0.500 0.000 0.000

Output
total energy: -5.698 eV per atom
symmetry: P4/mmm

---

Entry 4:
The following is a GGA-PBE calculation of crystalline ZnRe2MoW at its relaxed geometry, from Alexandria via LeMat-Bulk.

a = 4.710 Å, b = 4.710 Å, c = 4.729 Å
α = 90.00°, β = 90.00°, γ = 90.00°
Fractional positions:
W1 0.000 0.000 0.500
Mo1 0.000 0.000 0.000
Re1 0.000 0.500 0.000
Re2 0.500 0.000 0.000
Zn1 0.500 0.500 0.500

Output
total energy: -7.773 eV per atom
symmetry: P4/mmm

---

Entry 5:
The following is a GGA-PBE calculation of crystalline ZrReMoW at its relaxed geometry, from Alexandria via LeMat-Bulk.

a = 4.563 Å, b = 4.563 Å, c = 4.563 Å
α = 60.00°, β = 60.00°, γ = 60.00°
Fractional positions:
W1 0.000 0.000 0.000
Zr1 0.500 0.500 0.500
Re1 0.250 0.250 0.250
Mo1 0.750 0.750 0.750

Output
total energy: -11.322 eV per atom
symmetry: F-43m

---

Entry 6:
The following is a GGA-PBE calculation of crystalline Y2ReMo at its relaxed geometry, from Alexandria via LeMat-Bulk.

a = 4.933 Å, b = 4.933 Å, c = 4.933 Å
α = 60.00°, β = 60.00°, γ = 60.00°
Fractional positions:
Y1 0.250 0.250 0.250
Re1 0.500 0.500 0.500
Mo1 0.000 0.000 0.000
Y2 0.750 0.750 0.750

Output
total energy: -8.466 eV per atom
symmetry: Fm-3m